First-principles (PBE-GGA) data for a geometry-optimized Tb3AlNi3 structure, as listed in the Alexandria database.

```
Tb3AlNi3
1.0
8.253 0.000 0.000
-4.126 7.147 0.000
0.000 0.000 5.413
Tb Al Ni
6 2 6
direct
0.052 0.705 0.250 Tb
0.295 0.348 0.250 Tb
0.348 0.052 0.750 Tb
0.652 0.948 0.250 Tb
0.705 0.652 0.750 Tb
0.948 0.295 0.750 Tb
0.333 0.667 0.750 Al
0.667 0.333 0.250 Al
0.053 0.674 0.750 Ni
0.326 0.378 0.750 Ni
0.378 0.053 0.250 Ni
0.622 0.947 0.750 Ni
0.674 0.622 0.250 Ni
0.947 0.326 0.250 Ni
```

Computed properties:
E above lowest polymorph, meV per atom: 306.2
Electronic total energy, eV/cell: -72.726
ΔH_f (0 K), eV per atom: -0.198
Crystal system: hexagonal